[1]
DFT (PBE) results for a relaxed structure of RbAlTe3.

The structure belongs to space group P2_1/c (No. 14); the cell edges are 8.167, 13.346 and 7.596 Å and the angles 90.00°, 91.38° and 90.00°. The inequivalent atoms are Rb at (0.248, 0.056, 0.256), Al at (0.155, 0.725, 0.132), Te at (0.030, 0.177, 0.644), Te at (0.260, 0.559, 0.294) and Te at (0.425, 0.680, 0.545).

Its magnetization is 0.00 μB/cell. The energy above the most stable polymorph in this dataset is 0.000 eV per atom.

[2]
DFT (PBE) results for a relaxed structure of Sr2InSbN.

The structure belongs to space group P4/mmm (No. 123); the cell edges are 5.312, 5.312 and 4.647 Å and the angles 90.00°, 90.00° and 90.00°. The inequivalent atoms are Sr at (0.000, 0.500, 0.000), In at (0.000, 0.000, 0.500), Sb at (0.500, 0.500, 0.500) and N at (0.000, 0.000, 0.000).

Its magnetization is 0.00 μB/cell. Its total energy is -21.63 eV per cell.

[3]
DFT (PBE) results for a relaxed structure of LaTl2PH.

The structure belongs to space group P4/mmm (No. 123); the cell edges are 4.708, 4.708 and 4.947 Å and the angles 90.00°, 90.00° and 90.00°. The inequivalent atoms are La at (0.000, 0.000, 0.000), Tl at (0.000, 0.500, 0.500), P at (0.500, 0.500, 0.000) and H at (0.000, 0.000, 0.500).

Its magnetization is 0.00 μB/cell. Its total energy is -19.28 eV per cell.

[4]
DFT (PBE) results for a relaxed structure of Nb2CN.

The structure belongs to space group I-42d (No. 122); the cell edges are 4.813, 4.813 and 9.662 Å and the angles 90.00°, 90.00° and 90.00°. The inequivalent atoms are Nb at (0.247, 0.250, 0.125), C at (0.000, 0.000, 0.500) and N at (0.000, 0.000, 0.000).

Its magnetization is 0.00 μB/cell. The energy above the most stable polymorph in this dataset is 0.368 eV per atom.

[5]
DFT (PBE) results for a relaxed structure of PmSN4.

The structure belongs to space group C2/c (No. 15); the cell edges are 4.788, 20.707 and 5.621 Å and the angles 90.00°, 91.44° and 90.00°. The inequivalent atoms are Pm at (0.000, 0.212, 0.250), S at (0.000, 0.221, 0.750), N at (0.225, 0.108, 0.415) and N at (0.227, 0.440, 0.499).

Its magnetization is 0.00 μB/cell. Its total energy is -181.88 eV per cell.

[6]
DFT (PBE) results for a relaxed structure of RbTlRh2.

The structure belongs to space group Fm-3m (No. 225); the cell edges are 6.925, 6.925 and 6.925 Å and the angles 90.00°, 90.00° and 90.00°. The inequivalent atoms are Rb at (0.000, 0.000, 0.000), Tl at (0.000, 0.000, 0.500) and Rh at (0.250, 0.250, 0.250).

Its magnetization is 0.00 μB/cell. The energy above the most stable polymorph in this dataset is 0.162 eV per atom.

[7]
DFT (PBE) results for a relaxed structure of Ac8NiRh5.

The structure belongs to space group I-4 (No. 82); the cell edges are 9.339, 9.339 and 9.331 Å and the angles 90.00°, 90.00° and 90.00°. The inequivalent atoms are Ac at (0.056, 0.306, 0.431), Ac at (0.057, 0.195, 0.821), Ni at (0.000, 0.000, 0.500), Rh at (0.000, 0.500, 0.750) and Rh at (0.129, 0.251, 0.125).

Its magnetization is 0.00 μB/cell. Its total energy is -166.79 eV per cell.

[8]
DFT (PBE) results for a relaxed structure of SrMg2Cu2.

The structure belongs to space group C2/m (No. 12); the cell edges are 10.973, 4.116 and 5.328 Å and the angles 90.00°, 104.97° and 90.00°. The inequivalent atoms are Sr at (0.000, 0.000, 0.000), Mg at (0.156, 0.500, 0.577) and Cu at (0.231, 0.500, 0.115).

Its magnetization is 0.00 μB/cell. The energy above the most stable polymorph in this dataset is 0.000 eV per atom.